1.
Compound: PmTmBeRu
Source: the Alexandria database
Functional: PBE-GGA
Structure: optimized geometry

Cell lengths 4.864, 4.864, 4.864 Å; angles 60.00, 60.00, 60.00 degrees
Positions (direct):
Pm 0.000 0.000 0.000
Tm 0.500 0.500 0.500
Be 0.750 0.750 0.750
Ru 0.250 0.250 0.250

Properties
* Fermi-level density of states: 3.543 states/eV/cell
* SG: F-43m (216)
* calculated volume: 81 Å³/cell
* crystal system: cubic
* ΔE_f: -0.09 eV per atom
* size of the total moment: 0.00 μB per formula unit
* ρ: 8.66 g cm⁻³



2.
Compound: K2ReHgCl8
Source: the Alexandria database
Functional: PBE-GGA
Structure: optimized geometry

Cell lengths 6.525, 6.578, 8.976 Å; angles 89.95, 89.99, 84.32 degrees
Positions (direct):
K 0.001 0.498 0.263
K 0.999 0.502 0.737
Re 0.500 0.000 0.500
Hg 0.500 0.000 0.000
Cl 0.174 0.194 0.501
Cl 0.188 0.217 0.999
Cl 0.384 0.787 0.309
Cl 0.386 0.786 0.691
Cl 0.614 0.214 0.309
Cl 0.616 0.213 0.691
Cl 0.812 0.783 0.001
Cl 0.826 0.806 0.499

Properties
* SG: P-1 (2)
* calculated volume: 383 Å³/cell
* crystal system: triclinic
* formation energy without anion corrections: -1066 meV/atom
* size of the total moment: 3.00 μB per formula unit
* ρ: 3.24 g cm⁻³



3.
Compound: Sr2TlRe
Source: the Alexandria database
Functional: PBE-GGA
Structure: optimized geometry

Cell lengths 10.716, 10.716, 10.716 Å; angles 19.90, 19.90, 19.90 degrees
Positions (direct):
Sr 0.000 0.000 0.000
Sr 0.215 0.215 0.215
Tl 0.752 0.752 0.752
Re 0.477 0.477 0.477

Properties
* Fermi-level density of states: 3.495 states/eV/cell
* relative energy among the computed polymorphs: 0.261 eV/atom
* SG: R3m (160)
* calculated volume: 125 Å³/cell
* crystal system: trigonal
* ΔE_f: 0.87 eV per atom
* size of the total moment: 0.17 μB per formula unit
* ρ: 7.53 g cm⁻³